No. 1
Computed, not measured: a geometry-optimized CaDy2Ag structure at the GGA-PBE level of DFT.

Results
The calculation puts the distance to the lowest polymorph of the same formula at 111.0 meV/atom. The formation energy is 0.051 eV per atom. The space-group type is No. 166.

```
12
Lattice="3.639 0.000 0.000 -1.819 3.151 0.000 0.000 0.000 32.095" Properties=species:S:1:pos:R:3 pbc="T T T"
Ca 0.000 0.000 0.000
Ca 0.000 2.101 21.397
Ca 1.819 1.050 10.698
Dy 0.000 0.000 7.599
Dy 0.000 0.000 24.497
Dy 0.000 2.101 13.798
Dy 0.000 2.101 28.995
Dy 1.819 1.050 3.100
Dy 1.819 1.050 18.297
Ag 0.000 0.000 16.048
Ag 0.000 2.101 5.349
Ag 1.819 1.050 26.746
```

---

No. 2
Computed, not measured: a geometry-optimized GdErCuTc structure at the GGA-PBE level of DFT.

Results
The formation energy is -0.093 eV per atom. The space-group type is No. 216.

```
16
Lattice="6.883 0.000 0.000 0.000 6.883 0.000 0.000 0.000 6.883" Properties=species:S:1:pos:R:3 pbc="T T T"
Gd 0.000 0.000 0.000
Gd 0.000 3.442 3.442
Gd 3.442 0.000 3.442
Gd 3.442 3.442 0.000
Er 0.000 0.000 3.442
Er 0.000 3.442 0.000
Er 3.442 0.000 0.000
Er 3.442 3.442 3.442
Cu 1.721 1.721 1.721
Cu 1.721 5.162 5.162
Cu 5.162 1.721 5.162
Cu 5.162 5.162 1.721
Tc 1.721 1.721 5.162
Tc 1.721 5.162 1.721
Tc 5.162 1.721 1.721
Tc 5.162 5.162 5.162
```

---

No. 3
Computed, not measured: a geometry-optimized NaVReHg2 structure at the GGA-PBE level of DFT.

Results
The formation energy is 1.853 eV per atom. The space-group type is No. 123.

```
5
Lattice="5.240 0.000 0.000 0.000 5.240 0.000 0.000 0.000 5.365" Properties=species:S:1:pos:R:3 pbc="T T T"
Na 0.000 0.000 0.000
V 0.000 0.000 2.682
Re 2.620 2.620 0.000
Hg 0.000 2.620 2.682
Hg 2.620 0.000 2.682
```

---

No. 4
Computed, not measured: a geometry-optimized PrMg15Tl4 structure at the GGA-PBE level of DFT.

Results
The formation energy is -0.039 eV per atom. The space-group type is No. 123.

```
20
Lattice="4.848 0.000 0.000 0.000 4.848 0.000 0.000 0.000 20.443" Properties=species:S:1:pos:R:3 pbc="T T T"
Pr 0.000 0.000 0.000
Mg 0.000 2.424 2.232
Mg 0.000 2.424 6.236
Mg 0.000 2.424 10.222
Mg 0.000 2.424 14.207
Mg 0.000 2.424 18.211
Mg 2.424 0.000 2.232
Mg 2.424 0.000 6.236
Mg 2.424 0.000 10.222
Mg 2.424 0.000 14.207
Mg 2.424 0.000 18.211
Mg 2.424 2.424 0.000
Mg 2.424 2.424 4.302
Mg 2.424 2.424 8.195
Mg 2.424 2.424 12.248
Mg 2.424 2.424 16.141
Tl 0.000 0.000 4.195
Tl 0.000 0.000 8.262
Tl 0.000 0.000 12.181
Tl 0.000 0.000 16.249
```

---

No. 5
Computed, not measured: a geometry-optimized Cu2TcRhN structure at the GGA-PBE level of DFT.

Results
The calculation puts the distance to the lowest polymorph of the same formula at 991.8 meV/atom. Its formation energy from raw total energies is 2.24 eV/atom. The space-group type is No. 123.

```
5
Lattice="4.673 0.000 0.000 0.000 4.673 0.000 0.000 0.000 4.576" Properties=species:S:1:pos:R:3 pbc="T T T"
Cu 0.000 2.336 0.000
Cu 2.336 0.000 0.000
Tc 0.000 0.000 2.288
Rh 0.000 0.000 0.000
N 2.336 2.336 2.288
```

---

No. 6
Computed, not measured: a geometry-optimized Ba3CoSe structure at the GGA-PBE level of DFT.

Results
The calculation puts the distance to the lowest polymorph of the same formula at 0.0 meV/atom. Its formation energy from raw total energies is -0.29 eV/atom. The space-group type is No. 221.

```
5
Lattice="5.665 0.000 0.000 0.000 5.665 0.000 0.000 0.000 5.665" Properties=species:S:1:pos:R:3 pbc="T T T"
Ba 0.000 0.000 2.832
Ba 0.000 2.832 0.000
Ba 2.832 0.000 0.000
Co 0.000 0.000 0.000
Se 2.832 2.832 2.832
```

---

No. 7
Computed, not measured: a geometry-optimized K2YInO4 structure at the GGA-PBE level of DFT.

Results
Its formation energy from raw total energies is -2.13 eV/atom. The space-group type is No. 10.

```
8
Lattice="5.916 0.000 0.000 0.000 3.428 0.000 -2.021 0.000 6.249" Properties=species:S:1:pos:R:3 pbc="T T T"
K 0.000 0.000 0.000
K 2.958 1.714 0.000
Y -1.010 1.714 3.125
In 1.948 0.000 3.125
O -0.029 0.000 4.308
O 1.006 1.714 1.954
O 2.889 1.714 4.295
O 3.924 0.000 1.941
```

---

No. 8
Computed, not measured: a geometry-optimized Ir2RhCl structure at the GGA-PBE level of DFT.

Results
The calculation puts the distance to the lowest polymorph of the same formula at 143.0 meV/atom. Its formation energy from raw total energies is 0.51 eV/atom. The space-group type is No. 166.

```
12
Lattice="2.842 0.000 0.000 -1.421 2.461 0.000 0.000 0.000 25.665" Properties=species:S:1:pos:R:3 pbc="T T T"
Ir 0.000 0.000 6.399
Ir 0.000 0.000 19.266
Ir 0.000 1.641 10.711
Ir 0.000 1.641 23.509
Ir 1.421 0.820 2.156
Ir 1.421 0.820 14.954
Rh 0.000 0.000 12.832
Rh 0.000 1.641 4.277
Rh 1.421 0.820 21.387
Cl 0.000 0.000 0.000
Cl 0.000 1.641 17.110
Cl 1.421 0.820 8.555
```